<a>
Material: MnP2PbO
Method: DFT, PBE+U
State: optimized geometry

Fermi-level density of states   0.892 states/eV per atom
Calculated density   4.86 g/cm³

Cell lengths 5.2818, 5.2818, 4.1652 Å; angles 90.00, 90.00, 90.00 degrees
With the nearest neighbours (Å) after each atom.
Positions (direct):
1 Pb 0.0000 0.0000 0.0000  2 O 2.08
2 P 0.0000 0.5000 0.0000  2 Pb 2.64
3 P 0.5000 0.0000 0.0000  2 Pb 2.64
4 Mn 0.5000 0.5000 0.5000  8 P 3.36, 4 O 3.73
5 O 0.0000 0.0000 0.5000  2 Pb 2.08

---

<b>
Material: MnP2PbO
Method: DFT, PBE+U
State: optimized geometry

Fermi-level density of states   0.786 states/eV per atom
Calculated density   6.12 g/cm³

Cell lengths 5.0056, 5.0056, 3.6809 Å; angles 90.00, 90.00, 90.00 degrees
With the nearest neighbours (Å) after each atom.
Positions (direct):
1 Pb 0.5000 0.5000 0.5000  8 P 3.11
2 P 0.0000 0.5000 0.0000  2 Mn 2.50
3 P 0.5000 0.0000 0.0000  2 Mn 2.50
4 Mn 0.0000 0.0000 0.0000  2 O 1.84
5 O 0.0000 0.0000 0.5000  2 Mn 1.84

---

So which one is most stable? That would be <b>, about 0.732 eV/atom below the next structure.

---

<a>
Material: MnPPdO2
Method: DFT, PBE+U
State: optimized geometry

Fermi-level density of states   1.000 states/eV per atom
Calculated density   4.89 g/cm³

Cell lengths 3.8959, 3.8959, 5.0211 Å; angles 90.00, 90.00, 90.00 degrees
With the nearest neighbours (Å) after each atom.
Positions (direct):
1 P 0.0000 0.0000 0.5000  2 Pd 2.51, 4 Mn 2.75
2 Mn 0.5000 0.5000 0.5000  4 P 2.75
3 O 0.0000 0.5000 0.0000  2 Pd 1.95
4 O 0.5000 0.0000 0.0000  2 Pd 1.95
5 Pd 0.0000 0.0000 0.0000  4 O 1.95

---

<b>
Material: MnPPdO2
Method: DFT, PBE+U
State: optimized geometry

Fermi-level density of states   0.706 states/eV per atom
Calculated density   5.18 g/cm³

Cell lengths 3.6134, 3.6134, 5.5064 Å; angles 90.00, 90.00, 90.00 degrees
With the nearest neighbours (Å) after each atom.
Positions (direct):
1 P 0.0000 0.0000 0.5000  4 Pd 2.56, 2 Mn 2.75
2 Mn 0.0000 0.0000 0.0000  4 O 1.81
3 O 0.0000 0.5000 0.0000  2 Mn 1.81
4 O 0.5000 0.0000 0.0000  2 Mn 1.81
5 Pd 0.5000 0.5000 0.5000  4 P 2.56

---

So which one is most stable? That would be <b>, about 0.365 eV/atom below the next structure.

---

<a>
Material: RbMnPO2
Method: DFT, PBE+U
State: optimized geometry

Fermi-level density of states   0.502 states/eV per atom
Calculated density   2.86 g/cm³

Cell lengths 4.2607, 4.2607, 6.4991 Å; angles 90.00, 90.00, 90.00 degrees
With the nearest neighbours (Å) after each atom.
Positions (direct):
1 P 0.0000 0.0000 0.5000  4 Mn 3.01, 2 Rb 3.25
2 Mn 0.5000 0.5000 0.5000  4 P 3.01
3 O 0.0000 0.5000 0.0000  2 Rb 2.13
4 O 0.5000 0.0000 0.0000  2 Rb 2.13
5 Rb 0.0000 0.0000 0.0000  4 O 2.13

---

<b>
Material: RbMnPO2
Method: DFT, PBE+U
State: optimized geometry

Fermi-level density of states   0.564 states/eV per atom
Calculated density   3.95 g/cm³

Cell lengths 4.2051, 4.2051, 4.8390 Å; angles 90.00, 90.00, 90.00 degrees
With the nearest neighbours (Å) after each atom.
Positions (direct):
1 P 0.0000 0.0000 0.5000  2 Mn 2.42
2 Mn 0.0000 0.0000 0.0000  4 O 2.10
3 O 0.0000 0.5000 0.0000  2 Mn 2.10
4 O 0.5000 0.0000 0.0000  2 Mn 2.10
5 Rb 0.5000 0.5000 0.5000  4 P 2.97, 8 O 3.21

---

So which one is most stable? That would be <b>, about 1.347 eV/atom below the next structure.

---

<a>
Material: RbMnP2O
Method: DFT, PBE+U
State: optimized geometry

Fermi-level density of states   1.255 states/eV per atom
Calculated density   3.18 g/cm³

Cell lengths 5.2091, 5.2091, 4.1978 Å; angles 90.00, 90.00, 90.00 degrees
With the nearest neighbours (Å) after each atom.
Positions (direct):
1 P 0.0000 0.5000 0.0000  2 Rb 2.60
2 P 0.5000 0.0000 0.0000  2 Rb 2.60
3 Mn 0.5000 0.5000 0.5000  8 P 3.35, 4 O 3.68
4 O 0.0000 0.0000 0.5000  2 Rb 2.10
5 Rb 0.0000 0.0000 0.0000  2 O 2.10

---

<b>
Material: RbMnP2O
Method: DFT, PBE+U
State: optimized geometry

Fermi-level density of states   0.568 states/eV per atom
Calculated density   3.90 g/cm³

Cell lengths 4.7972, 4.7972, 4.0411 Å; angles 90.00, 90.00, 90.00 degrees
With the nearest neighbours (Å) after each atom.
Positions (direct):
1 P 0.0000 0.5000 0.0000  2 Mn 2.40
2 P 0.5000 0.0000 0.0000  2 Mn 2.40
3 Mn 0.0000 0.0000 0.0000  2 O 2.02
4 O 0.0000 0.0000 0.5000  2 Mn 2.02
5 Rb 0.5000 0.5000 0.5000  8 P 3.14, 4 O 3.39

---

So which one is most stable? That would be <b>, about 2.391 eV/atom below the next structure.

---

<a>
Material: RbMnPO4
Method: DFT, PBE+U
State: optimized geometry

Fermi-level density of states   0.000 states/eV per atom
Calculated density   3.57 g/cm³

Cell lengths 5.3699, 5.7502, 7.4400 Å; angles 90.00, 107.63, 90.00 degrees
With the nearest neighbours (Å) after each atom.
Positions (direct):
1 Rb 0.6979 0.7500 0.9347  4 O 2.77-3.05
2 Rb 0.3021 0.2500 0.0653  4 O 2.77-3.05
3 Mn 0.7980 0.7500 0.4733  6 O 2.17-2.42
4 Mn 0.2020 0.2500 0.5267  6 O 2.17-2.42
5 P 0.2449 0.7500 0.3487  4 O 1.55-1.58
6 P 0.7551 0.2500 0.6513  4 O 1.55-1.58
7 O 0.9461 0.4645 0.6774  1 P 1.58
8 O 0.0539 0.9645 0.3226  1 P 1.58
9 O 0.0539 0.5355 0.3226  1 P 1.58
10 O 0.9461 0.0355 0.6774  1 P 1.58
11 O 0.4044 0.7500 0.2067  1 P 1.55
12 O 0.5956 0.2500 0.7933  1 P 1.55
13 O 0.4392 0.7500 0.5505  1 P 1.55
14 O 0.5608 0.2500 0.4495  1 P 1.55

---

<b>
Material: RbMnPO4
Method: DFT, PBE+U
State: optimized geometry

Fermi-level density of states   0.000 states/eV per atom
Calculated density   3.32 g/cm³

Cell lengths 5.5156, 9.1085, 9.3716 Å; angles 90.55, 90.00, 90.00 degrees
With the nearest neighbours (Å) after each atom.
Positions (direct):
1 Rb 0.8772 0.9930 0.8002  5 O 2.93-3.11
2 Rb 0.3772 0.0070 0.1998  5 O 2.93-3.11
3 Rb 0.4083 0.5131 0.3115  4 O 2.78-2.99
4 Rb 0.9084 0.4870 0.6885  4 O 2.78-2.99
5 Mn 0.4129 0.6739 0.9101  4 O 2.05-2.07
6 Mn 0.3568 0.1605 0.5658  4 O 2.07-2.16
7 Mn 0.9129 0.3261 0.0899  4 O 2.05-2.07
8 Mn 0.8568 0.8395 0.4342  4 O 2.07-2.16
9 P 0.4003 0.7937 0.5776  4 O 1.55-1.58
10 P 0.9003 0.2063 0.4224  4 O 1.55-1.58
11 P 0.4106 0.2990 0.8982  4 O 1.55-1.56
12 P 0.9105 0.7010 0.1018  4 O 1.55-1.56
13 O 0.1848 0.7342 0.0755  1 P 1.56
14 O 0.6848 0.2658 0.9245  1 P 1.56
15 O 0.8107 0.8091 0.2168  1 P 1.55
16 O 0.3107 0.1909 0.7832  1 P 1.55
17 O 0.6758 0.2645 0.5041  1 P 1.55
18 O 0.1758 0.7355 0.4959  1 P 1.55
19 O 0.6215 0.6916 0.5483  1 P 1.56
20 O 0.1216 0.3084 0.4517  1 P 1.56
21 O 0.3790 0.4592 0.8454  1 P 1.56
22 O 0.8790 0.5408 0.1546  1 P 1.56
23 O 0.8424 0.1911 0.2608  1 P 1.55
24 O 0.3423 0.8089 0.7392  1 P 1.55
25 O 0.7693 0.7237 0.9595  1 P 1.56
26 O 0.2693 0.2763 0.0405  1 P 1.56
27 O 0.9862 0.0535 0.4815  1 P 1.58
28 O 0.4862 0.9465 0.5185  1 P 1.58

---

So which one is most stable? That would be <b>, about 0.057 eV/atom below the next structure.

---

<a>
Material: MnReP2O
Method: DFT, PBE+U
State: optimized geometry

Fermi-level density of states   0.829 states/eV per atom
Calculated density   7.10 g/cm³

Cell lengths 4.6607, 4.6607, 3.4376 Å; angles 90.00, 90.00, 90.00 degrees
With the nearest neighbours (Å) after each atom.
Positions (direct):
1 Re 0.5000 0.5000 0.5000  8 P 2.90
2 Mn 0.0000 0.0000 0.0000  2 O 1.72
3 O 0.0000 0.0000 0.5000  2 Mn 1.72
4 P 0.0000 0.5000 0.0000  2 Mn 2.33
5 P 0.5000 0.0000 0.0000  2 Mn 2.33

---

<b>
Material: MnReP2O
Method: DFT, PBE+U
State: optimized geometry

Fermi-level density of states   0.379 states/eV per atom
Calculated density   6.16 g/cm³

Cell lengths 4.8015, 4.8015, 3.7285 Å; angles 90.00, 90.00, 90.00 degrees
With the nearest neighbours (Å) after each atom.
Positions (direct):
1 Re 0.0000 0.0000 0.0000  2 O 1.86
2 Mn 0.5000 0.5000 0.5000  8 P 3.04, 4 O 3.40
3 O 0.0000 0.0000 0.5000  2 Re 1.86
4 P 0.0000 0.5000 0.0000  2 Re 2.40
5 P 0.5000 0.0000 0.0000  2 Re 2.40

---

So which one is most stable? That would be <b>, about 0.777 eV/atom below the next structure.

---

<a>
Material: MnPRuO2
Method: DFT, PBE+U
State: optimized geometry

Fermi-level density of states   0.596 states/eV per atom
Calculated density   4.99 g/cm³

Cell lengths 3.5609, 3.5609, 5.7443 Å; angles 90.00, 90.00, 90.00 degrees
With the nearest neighbours (Å) after each atom.
Positions (direct):
1 Ru 0.5000 0.5000 0.5000  4 P 2.52
2 Mn 0.0000 0.0000 0.0000  4 O 1.78
3 O 0.0000 0.5000 0.0000  2 Mn 1.78
4 O 0.5000 0.0000 0.0000  2 Mn 1.78
5 P 0.0000 0.0000 0.5000  4 Ru 2.52

---

<b>
Material: MnPRuO2
Method: DFT, PBE+U
State: optimized geometry

Fermi-level density of states   0.700 states/eV per atom
Calculated density   4.92 g/cm³

Cell lengths 3.7582, 3.7582, 5.2378 Å; angles 90.00, 90.00, 90.00 degrees
With the nearest neighbours (Å) after each atom.
Positions (direct):
1 Ru 0.0000 0.0000 0.0000  4 O 1.88
2 Mn 0.5000 0.5000 0.5000  4 P 2.66
3 O 0.0000 0.5000 0.0000  2 Ru 1.88
4 O 0.5000 0.0000 0.0000  2 Ru 1.88
5 P 0.0000 0.0000 0.5000  2 Ru 2.62, 4 Mn 2.66

---

So which one is most stable? That would be <b>, about 0.416 eV/atom below the next structure.

---

<a>
Material: MnPS2O
Method: DFT, PBE+U
State: optimized geometry

Fermi-level density of states   0.993 states/eV per atom
Calculated density   3.35 g/cm³

Cell lengths 4.2775, 4.2775, 4.5045 Å; angles 90.00, 90.00, 90.00 degrees
With the nearest neighbours (Å) after each atom.
Positions (direct):
1 P 0.0000 0.0000 0.5000  2 Mn 2.25
2 S 0.0000 0.5000 0.0000  2 Mn 2.14
3 S 0.5000 0.0000 0.0000  2 Mn 2.14
4 Mn 0.0000 0.0000 0.0000  4 S 2.14, 2 P 2.25
5 O 0.5000 0.5000 0.5000  4 P 3.02, 8 S 3.11

---

<b>
Material: MnPS2O
Method: DFT, PBE+U
State: optimized geometry

Fermi-level density of states   0.453 states/eV per atom
Calculated density   3.44 g/cm³

Cell lengths 4.6571, 4.6571, 3.6911 Å; angles 90.00, 90.00, 90.00 degrees
With the nearest neighbours (Å) after each atom.
Positions (direct):
1 P 0.0000 0.0000 0.5000  2 O 1.85
2 S 0.0000 0.5000 0.0000  2 O 2.33
3 S 0.5000 0.0000 0.0000  2 O 2.33
4 Mn 0.5000 0.5000 0.5000  8 S 2.97, 4 P 3.29
5 O 0.0000 0.0000 0.0000  2 P 1.85

---

So which one is most stable? That would be <b>, about 0.887 eV/atom below the next structure.